Record 1
DFT (GGA-PBE) results for a relaxed Sb3PbS crystal.

Calculated values
crystal system = cubic
energy relative to the elements, uncorrected = 1.248 eV per atom
energy above the lowest structure with this stoichiometry = 894 meV per atom

a b c (Å): 5.7700 5.7700 5.7700
angles (deg): 90.00 90.00 90.00
Last column: magnetic moment on the atom in μB.
Fractional coordinates of all 5 atoms:
Pb 0.0000 0.0000 0.0000  -0.02
Sb 0.0000 0.5000 0.0000  0.04
Sb 0.0000 0.0000 0.5000  0.01
Sb 0.5000 0.0000 0.0000  0.03
S 0.5000 0.5000 0.5000  0.48

=====

Record 2
DFT (GGA-PBE) results for a relaxed NdEr2Sb crystal.

Calculated values
crystal system = orthorhombic
energy relative to the elements, uncorrected = -0.556 eV per atom
energy above the lowest structure with this stoichiometry = 0 meV per atom

a b c (Å): 4.1302 6.5010 9.5263
angles (deg): 90.00 90.00 108.52
Last column: magnetic moment on the atom in μB.
Fractional coordinates of all 8 atoms:
Nd 0.9445 0.8888 0.2500  0.12
Nd 0.0555 0.1112 0.7500  0.12
Er 0.3624 0.7250 0.5422  0.16
Er 0.6376 0.2750 0.4578  0.16
Er 0.3624 0.7250 0.9578  0.16
Er 0.6376 0.2750 0.0422  0.16
Sb 0.7629 0.5260 0.7500  0.00
Sb 0.2371 0.4740 0.2500  0.00

=====

Record 3
DFT (GGA-PBE) results for a relaxed KBa2Ni crystal.

Calculated values
crystal system = cubic
energy above the lowest structure with this stoichiometry = 386 meV per atom
calculated formation energy = 0.42 eV/atom

a b c (Å): 6.0397 6.0397 6.0397
angles (deg): 60.00 60.00 60.00
Fractional coordinates of all 4 atoms:
Ni 0.5000 0.5000 0.5000
K 0.0000 0.0000 0.0000
Ba 0.2500 0.2500 0.2500
Ba 0.7500 0.7500 0.7500

=====

Record 4
DFT (GGA-PBE) results for a relaxed Ho2PuTlC crystal.

Calculated values
crystal system = tetragonal
calculated formation energy = -0.28 eV/atom

a b c (Å): 4.7294 4.9515 4.9515
angles (deg): 90.00 90.00 90.00
Last column: magnetic moment on the atom in μB.
Fractional coordinates of all 5 atoms:
Ho 0.0000 0.0000 0.5000  0.11
Ho 0.0000 0.5000 0.0000  0.11
Pu 0.5000 0.0000 0.0000  5.01
Tl 0.5000 0.5000 0.5000  -0.05
C 0.0000 0.0000 0.0000  -0.14

=====

Number 1: ρ 5.23 g/cm3, magnetization 0.19 μB/atom, E_tot -13.96 eV/cell. Number 2: ρ 8.22 g/cm3, magnetization 0.19 μB/atom, E_tot -40.48 eV/cell. Number 3: ρ 3.97 g/cm3, magnetization 0.00 μB/atom, E_tot -9.03 eV/cell. Number 4: ρ 11.32 g/cm3, magnetization 1.04 μB/atom, E_tot -36.49 eV/cell.